(1)
KScCl2 | PBE | optimized geometry

Geometry as CIF:
```
data_KScCl2
_chemical_formula_sum 'K3 Sc3 Cl6'
_space_group_name_H-M_alt 'R 3 m'
_space_group_IT_number 160
_space_group_name_Hall 'R 3 -2"'
_cell_length_a 3.6396
_cell_length_b 3.6396
_cell_length_c 25.1482
_cell_angle_alpha 90.00
_cell_angle_beta 90.00
_cell_angle_gamma 120.00
loop_
_atom_site_label
_atom_site_type_symbol
_atom_site_fract_x
_atom_site_fract_y
_atom_site_fract_z
K1 K 0.0000 0.0000 0.0000
Sc1 Sc 0.0000 0.0000 0.1695
Cl1 Cl 0.0000 0.0000 0.5692
Cl2 Cl 0.0000 0.0000 0.7685
```

---

(2)
KSc5Cl12 | PBE | optimized geometry

Geometry as CIF:
```
data_KSc5Cl12
_chemical_formula_sum 'K2 Sc10 Cl24'
_space_group_name_H-M_alt 'I m m m'
_space_group_IT_number 71
_space_group_name_Hall '-I 2 2'
_cell_length_a 8.922
_cell_length_b 9.503
_cell_length_c 10.073
_cell_angle_alpha 90.00
_cell_angle_beta 90.00
_cell_angle_gamma 90.00
loop_
_atom_site_label
_atom_site_type_symbol
_atom_site_fract_x
_atom_site_fract_y
_atom_site_fract_z
K1 K 0.000 0.000 0.000
Sc1 Sc 0.000 0.000 0.500
Sc2 Sc 0.000 0.343 0.500
Sc3 Sc 0.000 0.500 0.140
Cl1 Cl 0.000 0.173 0.309
Cl2 Cl 0.178 0.336 0.000
Cl3 Cl 0.178 0.500 0.344
```

---

(3)
KScCl2 | PBE | optimized geometry

Geometry as CIF:
```
data_KScCl2
_chemical_formula_sum 'K2 Sc2 Cl4'
_space_group_name_H-M_alt 'I -4 m 2'
_space_group_IT_number 119
_space_group_name_Hall 'I -4 -2'
_cell_length_a 4.022
_cell_length_b 4.022
_cell_length_c 15.563
_cell_angle_alpha 90.00
_cell_angle_beta 90.00
_cell_angle_gamma 90.00
loop_
_atom_site_label
_atom_site_type_symbol
_atom_site_fract_x
_atom_site_fract_y
_atom_site_fract_z
K1 K 0.000 0.000 0.000
Sc1 Sc 0.000 0.500 0.750
Cl1 Cl 0.000 0.000 0.500
Cl2 Cl 0.000 0.500 0.250
```

---

Number 1: DFT total energy -49.08 eV per cell, ΔE_f (raw) -1.309 eV/atom. Number 2: DFT total energy -175.74 eV per cell, ΔE_f (raw) -1.831 eV/atom. Number 3: DFT total energy -30.50 eV per cell, ΔE_f (raw) -1.032 eV/atom.